The following is a GGA-PBE calculation of crystalline BaMg3Te at its relaxed geometry, from Alexandria.

Formation energy from raw total energies, meV per atom: 911
Crystal system: cubic
M_tot, μB/f.u.: 0.00
Polymorph energy (0 for the lowest one), meV per atom: 829
Uncorrected energy, eV/atom: -1.059

Cell and atoms, written as CIF:
```
data_BaMg3Te
_symmetry_space_group_name_H-M 'P m -3 m'
_symmetry_Int_Tables_number 221
_symmetry_space_group_name_Hall '-P 4 2 3'
_cell_length_a 6.475
_cell_length_b 6.475
_cell_length_c 6.475
_cell_angle_alpha 90.00
_cell_angle_beta 90.00
_cell_angle_gamma 90.00
loop_
_atom_site_label
_atom_site_type_symbol
_atom_site_fract_x
_atom_site_fract_y
_atom_site_fract_z
_atom_site_occupancy
Ba1 Ba 0.000 0.000 0.000 1
Mg1 Mg 0.000 0.000 0.500 1
Te1 Te 0.500 0.500 0.500 1
```


The following is a GGA-PBE calculation of crystalline SrLaTl at its relaxed geometry, from Alexandria.

Crystal system: tetragonal
M_tot, μB/f.u.: 0.00
Uncorrected energy, eV/atom: -3.269

Cell and atoms, written as CIF:
```
data_SrLaTl
_symmetry_space_group_name_H-M 'P 4/n m m'
_symmetry_Int_Tables_number 129
_cell_length_a 4.055
_cell_length_b 4.055
_cell_length_c 13.532
_cell_angle_alpha 90.00
_cell_angle_beta 90.00
_cell_angle_gamma 90.00
loop_
_symmetry_equiv_pos_as_xyz
'x,y,z'
'-x,-y,-z'
'-y+1/2,x,z'
'y+1/2,-x,-z'
'-x+1/2,-y+1/2,z'
'x+1/2,y+1/2,-z'
'y,-x+1/2,z'
'-y,x+1/2,-z'
'x+1/2,-y,-z'
'-x+1/2,y,z'
'-y,-x,-z'
'y,x,z'
'-x,y+1/2,-z'
'x,-y+1/2,z'
'y+1/2,x+1/2,-z'
'-y+1/2,-x+1/2,z'
loop_
_atom_site_label
_atom_site_type_symbol
_atom_site_fract_x
_atom_site_fract_y
_atom_site_fract_z
_atom_site_occupancy
Sr1 Sr 0.250 0.250 0.125 1
La1 La 0.250 0.250 0.416 1
Tl1 Tl 0.250 0.250 0.717 1
```


The following is a GGA-PBE calculation of crystalline Sr3Li4La5O12 at its relaxed geometry, from Alexandria.

Formation energy from raw total energies, meV per atom: -2792
Crystal system: monoclinic
M_tot, μB/f.u.: 0.74
Uncorrected energy, eV/atom: -6.827

Cell and atoms, written as CIF:
```
data_Sr3Li4La5O12
_symmetry_space_group_name_H-M 'P 1 m 1'
_symmetry_Int_Tables_number 6
_symmetry_space_group_name_Hall 'P -2y'
_cell_length_a 6.968
_cell_length_b 3.582
_cell_length_c 13.594
_cell_angle_alpha 90.00
_cell_angle_beta 90.04
_cell_angle_gamma 90.00
loop_
_atom_site_label
_atom_site_type_symbol
_atom_site_fract_x
_atom_site_fract_y
_atom_site_fract_z
_atom_site_occupancy
Sr1 Sr 0.000 0.000 0.000 1
Sr2 Sr 0.176 0.500 0.442 1
Sr3 Sr 0.502 0.000 0.939 1
Li1 Li 0.211 0.500 0.855 1
Li2 Li 0.463 0.000 0.351 1
Li3 Li 0.711 0.500 0.087 1
Li4 Li 0.970 0.000 0.590 1
La1 La 0.330 0.500 0.177 1
La2 La 0.348 0.000 0.679 1
La3 La 0.672 0.500 0.504 1
La4 La 0.829 0.500 0.764 1
La5 La 0.845 0.000 0.262 1
O1 O 0.074 0.000 0.817 1
O2 O 0.089 0.500 0.621 1
O3 O 0.217 0.000 0.283 1
O4 O 0.268 0.500 0.002 1
O5 O 0.419 0.000 0.492 1
O6 O 0.459 0.500 0.791 1
O7 O 0.577 0.000 0.128 1
O8 O 0.600 0.500 0.323 1
O9 O 0.720 0.000 0.650 1
O10 O 0.770 0.500 0.944 1
O11 O 0.900 0.000 0.444 1
O12 O 0.954 0.500 0.159 1
```


The following is a GGA-PBE calculation of crystalline Y2CoNi at its relaxed geometry, from Alexandria.

Crystal system: orthorhombic
M_tot, μB/f.u.: 0.00
Uncorrected energy, eV/atom: -6.751

Cell and atoms, written as CIF:
```
data_Y2CoNi
_symmetry_space_group_name_H-M 'A m m 2'
_symmetry_Int_Tables_number 38
_symmetry_space_group_name_Hall 'A 2 -2'
_cell_length_a 3.940
_cell_length_b 3.894
_cell_length_c 10.493
_cell_angle_alpha 90.00
_cell_angle_beta 90.00
_cell_angle_gamma 90.00
loop_
_atom_site_label
_atom_site_type_symbol
_atom_site_fract_x
_atom_site_fract_y
_atom_site_fract_z
_atom_site_occupancy
Y1 Y 0.000 0.000 0.000 1
Y2 Y 0.500 0.000 0.284 1
Co1 Co 0.500 0.000 0.575 1
Ni1 Ni 0.000 0.000 0.708 1
```


The following is a GGA-PBE calculation of crystalline Tl4AuI5 at its relaxed geometry, from Alexandria.

Formation energy from raw total energies, meV per atom: -469
Crystal system: tetragonal
M_tot, μB/f.u.: 0.00
Uncorrected energy, eV/atom: -2.518

Cell and atoms, written as CIF:
```
data_Tl4AuI5
_symmetry_space_group_name_H-M 'I 4'
_symmetry_Int_Tables_number 79
_symmetry_space_group_name_Hall 'I 4'
_cell_length_a 10.774
_cell_length_b 10.774
_cell_length_c 7.043
_cell_angle_alpha 90.00
_cell_angle_beta 90.00
_cell_angle_gamma 90.00
loop_
_atom_site_label
_atom_site_type_symbol
_atom_site_fract_x
_atom_site_fract_y
_atom_site_fract_z
_atom_site_occupancy
Tl1 Tl 0.089 0.306 0.000 1
Au1 Au 0.000 0.000 0.395 1
I1 I 0.000 0.000 0.000 1
I2 I 0.096 0.261 0.504 1
```


The following is a GGA-PBE calculation of crystalline NbIn3Tc at its relaxed geometry, from Alexandria.

Crystal system: cubic
M_tot, μB/f.u.: 4.32
Polymorph energy (0 for the lowest one), meV per atom: 380
Uncorrected energy, eV/atom: -4.357

Cell and atoms, written as CIF:
```
data_NbIn3Tc
_symmetry_space_group_name_H-M 'P m -3 m'
_symmetry_Int_Tables_number 221
_symmetry_space_group_name_Hall '-P 4 2 3'
_cell_length_a 5.319
_cell_length_b 5.319
_cell_length_c 5.319
_cell_angle_alpha 90.00
_cell_angle_beta 90.00
_cell_angle_gamma 90.00
loop_
_atom_site_label
_atom_site_type_symbol
_atom_site_fract_x
_atom_site_fract_y
_atom_site_fract_z
_atom_site_occupancy
Nb1 Nb 0.000 0.000 0.000 1
In1 In 0.000 0.000 0.500 1
Tc1 Tc 0.500 0.500 0.500 1
```


The following is a GGA-PBE calculation of crystalline MgVGaPd2 at its relaxed geometry, from Alexandria.

Crystal system: tetragonal
M_tot, μB/f.u.: 0.85
Uncorrected energy, eV/atom: -4.386

Cell and atoms, written as CIF:
```
data_MgVGaPd2
_symmetry_space_group_name_H-M 'P 4/m m m'
_symmetry_Int_Tables_number 123
_symmetry_space_group_name_Hall '-P 4 2'
_cell_length_a 4.648
_cell_length_b 4.648
_cell_length_c 4.762
_cell_angle_alpha 90.00
_cell_angle_beta 90.00
_cell_angle_gamma 90.00
loop_
_atom_site_label
_atom_site_type_symbol
_atom_site_fract_x
_atom_site_fract_y
_atom_site_fract_z
_atom_site_occupancy
Mg1 Mg 0.000 0.000 0.000 1
V1 V 0.500 0.500 0.500 1
Ga1 Ga 0.500 0.500 0.000 1
Pd1 Pd 0.000 0.500 0.500 1
```